1.
Compound: K7Au3
Source: the Open Quantum Materials Database
Functional: PBE
Structure: relaxed

Calculated values
The crystal system is hexagonal. The value obtained for the total energy is -0.0714 hartree per atom.

a = 11.8332 Å, b = 11.8332 Å, c = 7.3285 Å
α = 90.00°, β = 90.00°, γ = 120.00°
Space group P6_3mc (No. 186)
Asymmetric unit:
K 0.0761 0.5380 0.0000 (multiplicity 6)
K 0.1260 0.2520 0.7055 (multiplicity 6)
K 0.3333 0.6667 0.4719 (multiplicity 2)
Au 0.1872 0.3744 0.2681 (multiplicity 6)


2.
Compound: K5Au4
Source: the Open Quantum Materials Database
Functional: PBE
Structure: relaxed

Calculated values
The crystal system is monoclinic. The value obtained for the total energy is -0.0868 hartree per atom.

a = 12.041 Å, b = 4.950 Å, c = 11.674 Å
α = 90.00°, β = 114.44°, γ = 90.00°
Space group C2/m (No. 12)
Asymmetric unit:
K 0.000 0.000 0.000 (multiplicity 2)
K 0.102 0.000 0.399 (multiplicity 4)
K 0.247 0.500 0.176 (multiplicity 4)
Au 0.059 0.500 0.835 (multiplicity 4)
Au 0.112 0.500 0.614 (multiplicity 4)


Q: What is the formula in the first record?
A: K7Au3